(1)
# GGA-PBE Pr6Fe13Sb, relaxed
data_Pr6Fe13Sb
_chemical_formula_sum 'Pr12 Fe26 Sb2'
_space_group_name_H-M_alt 'P 1'
_space_group_IT_number 1
_space_group_name_Hall 'P 1'
_cell_length_a 13.052
_cell_length_b 13.052
_cell_length_c 13.052
_cell_angle_alpha 144.17
_cell_angle_beta 144.17
_cell_angle_gamma 51.58
loop_
_atom_site_label
_atom_site_type_symbol
_atom_site_fract_x
_atom_site_fract_y
_atom_site_fract_z
Fe1 Fe 0.933 0.209 0.142
Fe2 Fe 0.709 0.433 0.142
Fe3 Fe 0.263 0.763 0.143
Fe4 Fe 0.380 0.880 0.143
Fe5 Fe 0.794 0.294 0.273
Fe6 Fe 0.980 0.480 0.273
Fe7 Fe 0.209 0.067 0.277
Fe8 Fe 0.567 0.709 0.277
Fe9 Fe 0.500 0.000 0.500
Fe10 Fe 0.294 0.020 0.500
Fe11 Fe 0.480 0.206 0.500
Fe12 Fe 0.120 0.263 0.500
Fe13 Fe 0.237 0.380 0.500
Fe14 Fe 0.000 0.500 0.500
Fe15 Fe 0.763 0.620 0.500
Fe16 Fe 0.880 0.737 0.500
Fe17 Fe 0.520 0.794 0.500
Fe18 Fe 0.706 0.980 0.500
Fe19 Fe 0.433 0.291 0.723
Fe20 Fe 0.791 0.933 0.723
Fe21 Fe 0.020 0.520 0.727
Fe22 Fe 0.206 0.706 0.727
Fe23 Fe 0.620 0.120 0.857
Fe24 Fe 0.737 0.237 0.857
Fe25 Fe 0.291 0.567 0.858
Fe26 Fe 0.067 0.791 0.858
Pr1 Pr 0.105 0.105 0.000
Pr2 Pr 0.395 0.395 0.000
Pr3 Pr 0.605 0.605 0.000
Pr4 Pr 0.895 0.895 0.000
Pr5 Pr 0.524 0.024 0.176
Pr6 Pr 0.152 0.652 0.176
Pr7 Pr 0.976 0.152 0.500
Pr8 Pr 0.652 0.476 0.500
Pr9 Pr 0.348 0.524 0.500
Pr10 Pr 0.024 0.848 0.500
Pr11 Pr 0.848 0.348 0.824
Pr12 Pr 0.476 0.976 0.824
Sb1 Sb 0.250 0.250 0.000
Sb2 Sb 0.750 0.750 0.000
# crystal system: tetragonal



(2)
# GGA-PBE Re2GeO4, relaxed
data_Re2GeO4
_chemical_formula_sum 'Re4 Ge2 O8'
_space_group_name_H-M_alt 'P 1'
_space_group_IT_number 1
_space_group_name_Hall 'P 1'
_cell_length_a 6.324
_cell_length_b 6.324
_cell_length_c 6.324
_cell_angle_alpha 119.98
_cell_angle_beta 90.04
_cell_angle_gamma 119.98
loop_
_atom_site_label
_atom_site_type_symbol
_atom_site_fract_x
_atom_site_fract_y
_atom_site_fract_z
Ge1 Ge 0.000 0.000 0.000
Ge2 Ge 0.750 0.500 0.250
O1 O 0.168 0.779 0.389
O2 O 0.611 0.221 0.389
O3 O 0.611 0.779 0.389
O4 O 0.139 0.279 0.418
O5 O 0.611 0.221 0.832
O6 O 0.139 0.721 0.861
O7 O 0.582 0.721 0.861
O8 O 0.139 0.279 0.861
Re1 Re 0.375 0.750 0.125
Re2 Re 0.875 0.250 0.625
Re3 Re 0.375 0.250 0.625
Re4 Re 0.375 0.750 0.625
# crystal system: cubic



Number 1: DFT total energy -7.15 eV per atom. Number 2: DFT total energy -7.57 eV per atom.